Entry 1:
A geometry-optimized LiSc2TiRu structure. Source: Alexandria via LeMat-Bulk, functional GGA-PBE.

Calculated values
E_form ... 1151 meV/atom
Fermi-level density of states ... 5.493 states/eV/cell

Geometry as POSCAR:
```
LiSc2TiRu
1.0
4.794 0.000 0.000
0.000 4.794 0.000
0.000 0.000 4.147
Li Sc Ti Ru
1 2 1 1
Direct
0.000 0.000 0.000 Li
0.000 0.500 0.500 Sc
0.500 0.000 0.500 Sc
0.000 0.000 0.500 Ti
0.500 0.500 0.000 Ru
```



Entry 2:
A geometry-optimized LiScTlRu structure. Source: Alexandria via LeMat-Bulk, functional GGA-PBE.

Calculated values
E_form ... -159 meV/atom
Fermi-level density of states ... 2.134 states/eV/cell

Geometry as POSCAR:
```
LiScTlRu
1.0
0.000 3.283 3.283
3.283 0.000 3.283
3.283 3.283 0.000
Li Sc Tl Ru
1 1 1 1
Direct
0.000 0.000 0.000 Li
0.750 0.750 0.750 Sc
0.250 0.250 0.250 Tl
0.500 0.500 0.500 Ru
```



Entry 3:
A geometry-optimized LiSc2VRu structure. Source: Alexandria via LeMat-Bulk, functional GGA-PBE.

Calculated values
E_form ... 269 meV/atom
Fermi-level density of states ... 5.286 states/eV/cell

Geometry as POSCAR:
```
LiSc2VRu
1.0
5.053 0.000 0.000
0.000 5.053 0.000
0.000 0.000 4.637
Li Sc V Ru
1 2 1 1
Direct
0.000 0.000 0.000 Li
0.000 0.500 0.500 Sc
0.500 0.000 0.500 Sc
0.500 0.500 0.000 V
0.500 0.500 0.500 Ru
```



Entry 4:
A geometry-optimized LiY2ScRu structure. Source: Alexandria via LeMat-Bulk, functional GGA-PBE.

Calculated values
E_form ... -44 meV/atom
Fermi-level density of states ... 4.045 states/eV/cell

Geometry as POSCAR:
```
LiY2ScRu
1.0
5.409 0.000 0.000
0.000 5.409 0.000
0.000 0.000 5.026
Li Y Sc Ru
1 2 1 1
Direct
0.000 0.000 0.000 Li
0.000 0.500 0.500 Y
0.500 0.000 0.500 Y
0.500 0.500 0.000 Sc
0.500 0.500 0.500 Ru
```



Entry 5:
A geometry-optimized Li2ScZnRu structure. Source: Alexandria via LeMat-Bulk, functional GGA-PBE.

Calculated values
E_form ... 251 meV/atom
Fermi-level density of states ... 3.616 states/eV/cell

Geometry as POSCAR:
```
Li2ScZnRu
1.0
4.231 0.000 0.000
0.000 4.231 0.000
0.000 0.000 4.850
Li Sc Zn Ru
2 1 1 1
Direct
0.000 0.500 0.000 Li
0.500 0.000 0.000 Li
0.000 0.000 0.500 Sc
0.500 0.500 0.000 Zn
0.500 0.500 0.500 Ru
```



Entry 6:
A geometry-optimized LiRuSe3 structure. Source: Alexandria via LeMat-Bulk, functional GGA-PBE.

Calculated values
Relative energy among the computed polymorphs ... 0.000 eV/atom
Fermi-level density of states ... 6.228 states/eV/cell

Geometry as POSCAR:
```
LiRuSe3
1.0
4.962 0.000 0.000
0.000 4.962 0.000
0.000 0.000 4.962
Li Ru Se
1 1 3
Direct
0.000 0.000 0.000 Li
0.500 0.500 0.500 Ru
0.000 0.500 0.500 Se
0.500 0.000 0.500 Se
0.500 0.500 0.000 Se
```



no.,final energy (eV/atom),total moment (Bohr magnetons per cell)
1,-5.1990,1.4
2,-5.1306,0.0
3,-6.3249,2.3
4,-6.1337,0.0
5,-3.8903,0.0
6,-4.2207,2.7